## PuCuTe2 (PBE)

Data for PuCuTe2 after structural relaxation.

Structure (CIF):
```
data_PuCuTe2
_chemical_formula_sum 'Pu4 Cu4 Te8'
_cell_length_a 4.377
_cell_length_b 10.554
_cell_length_c 9.773
_cell_angle_alpha 90.00
_cell_angle_beta 90.00
_cell_angle_gamma 90.00
_symmetry_space_group_name_H-M 'P 1'
_symmetry_Int_Tables_number 1
loop_
_symmetry_equiv_pos_as_xyz
'x,y,z'
loop_
_atom_site_label
_atom_site_fract_x
_atom_site_fract_y
_atom_site_fract_z
Cu1 0.250 0.040 0.567
Cu2 0.750 0.460 0.067
Cu3 0.750 0.960 0.433
Cu4 0.250 0.540 0.933
Pu1 0.750 0.165 0.885
Pu2 0.250 0.335 0.385
Pu3 0.750 0.665 0.615
Pu4 0.250 0.835 0.115
Te1 0.250 0.817 0.443
Te2 0.750 0.683 0.943
Te3 0.250 0.466 0.673
Te4 0.250 0.966 0.827
Te5 0.750 0.534 0.327
Te6 0.750 0.034 0.173
Te7 0.750 0.183 0.557
Te8 0.250 0.317 0.057
```

Summary:
Formation energy from raw total energies: -0.5740 eV per atom

---

## HfVGa3 (PBE)

Data for HfVGa3 after structural relaxation.

Structure (CIF):
```
data_HfVGa3
_chemical_formula_sum 'Hf1 V1 Ga3'
_cell_length_a 5.076
_cell_length_b 5.076
_cell_length_c 5.076
_cell_angle_alpha 90.00
_cell_angle_beta 90.00
_cell_angle_gamma 90.00
_symmetry_space_group_name_H-M 'P 1'
_symmetry_Int_Tables_number 1
loop_
_symmetry_equiv_pos_as_xyz
'x,y,z'
loop_
_atom_site_label
_atom_site_fract_x
_atom_site_fract_y
_atom_site_fract_z
V1 0.500 0.500 0.500
Ga1 0.000 0.500 0.000
Ga2 0.500 0.000 0.000
Ga3 0.000 0.000 0.500
Hf1 0.000 0.000 0.000
```

Summary:
Formation enthalpy at 0 K: 961 meV/atom

---

| no. | magnetic moment (μB/cell) |
| --- | --- |
| 1 | 19.982 |
| 2 | 2.941 |